No. 1
First-principles (PBE-GGA) data for crystalline Y2HgOsO8 at its relaxed geometry, as listed in Alexandria via LeMat-Bulk.

Geometry as POSCAR:
```
Y2HgOsO8
1.0
-2.0945 -0.4111 -4.3941
-0.3479 -4.7903 0.8884
-6.5429 1.0342 3.0207
Y Hg Os O
2 1 1 8
direct
0.5001 0.5001 0.7464
0.4999 0.4999 0.2536
0.0000 0.0000 0.5000
0.0000 0.0000 0.0000
0.1847 0.8148 0.1827
0.7184 0.7189 0.0000
0.8153 0.1851 0.1828
0.8153 0.1852 0.8173
0.2816 0.2811 0.0000
0.1847 0.8149 0.8172
0.6960 0.6965 0.4999
0.3040 0.3035 0.5001
```

## Properties
For the formation energy from raw total energies, the calculation gives -1.877 eV/atom.

***

No. 2
First-principles (PBE-GGA) data for crystalline YHgOsO6 at its relaxed geometry, as listed in Alexandria via LeMat-Bulk.

Geometry as POSCAR:
```
YHgOsO6
1.0
5.5849 -0.0008 -0.0020
2.7918 4.8343 -0.0020
-0.0027 -0.0025 4.7947
Y Hg Os O
1 1 1 6
direct
0.6667 0.6666 0.5000
0.0001 0.9999 0.0000
0.3334 0.3333 0.5000
0.0449 0.3496 0.2734
0.3498 0.0452 0.7264
0.6052 0.3499 0.7266
0.0450 0.6055 0.7264
0.3496 0.6052 0.2736
0.6050 0.0449 0.2734
```

## Properties
For the formation energy from raw total energies, the calculation gives -1.421 eV/atom. For the density of states at the Fermi level, the calculation gives 3.55 states/eV/cell.

***

No. 3
First-principles (PBE-GGA) data for crystalline ZrHgOsO6 at its relaxed geometry, as listed in Alexandria via LeMat-Bulk.

Geometry as POSCAR:
```
ZrHgOsO6
1.0
-3.7053 -3.2274 -2.2765
1.2810 -2.9329 -4.3685
1.4416 -3.7100 2.9134
Zr Hg Os O
1 1 1 6
direct
0.6666 0.6667 0.5000
0.0000 0.0000 0.0000
0.3333 0.3333 0.5000
0.0242 0.3632 0.2782
0.3632 0.0242 0.7218
0.6125 0.3632 0.7218
0.0242 0.6125 0.7218
0.3632 0.6126 0.2782
0.6125 0.0242 0.2782
```

## Properties
For the formation energy from raw total energies, the calculation gives -1.478 eV/atom. For the density of states at the Fermi level, the calculation gives 4.41 states/eV/cell.

***

No. 4
First-principles (PBE-GGA) data for crystalline HgPO3 at its relaxed geometry, as listed in Alexandria via LeMat-Bulk.

Geometry as POSCAR:
```
HgPO3
1.0
4.1139 0.0000 0.0000
0.0000 4.1139 0.0000
0.0000 0.0000 4.1139
P Hg O
1 1 3
direct
0.5000 0.5000 0.5000
0.0000 0.0000 0.0000
0.0000 0.5000 0.0000
0.0000 0.0000 0.5000
0.5000 0.0000 0.0000
```

## Properties
For the formation energy from raw total energies, the calculation gives 0.967 eV/atom. For the density of states at the Fermi level, the calculation gives 3.27 states/eV/cell.

***

No. 5
First-principles (PBE-GGA) data for crystalline HgPO3 at its relaxed geometry, as listed in Alexandria via LeMat-Bulk.

Geometry as POSCAR:
```
HgPO3
1.0
5.3593 0.0000 0.0522
0.0000 6.5718 0.0000
-0.1956 0.0000 9.6311
Hg P O
4 4 12
direct
0.9742 0.6001 0.3003
0.5258 0.1001 0.1997
0.0258 0.3999 0.6997
0.4742 0.8999 0.8003
0.4217 0.6222 0.0661
0.0783 0.1222 0.4339
0.5783 0.3778 0.9339
0.9217 0.8778 0.5661
0.1313 0.7707 0.6468
0.3687 0.2707 0.8532
0.8687 0.2293 0.3532
0.6313 0.7293 0.1468
0.7397 0.0050 0.6563
0.7603 0.5050 0.8437
0.2603 0.9950 0.3437
0.2397 0.4950 0.1563
0.7749 0.7282 0.4697
0.7251 0.2282 0.0303
0.2251 0.2718 0.5303
0.2749 0.7718 0.9697
```

## Properties
For the formation energy from raw total energies, the calculation gives -1.348 eV/atom. For the density of states at the Fermi level, the calculation gives 0.00 states/eV/cell.

***

No. 6
First-principles (PBE-GGA) data for crystalline Hg3PO6 at its relaxed geometry, as listed in Alexandria via LeMat-Bulk.

Geometry as POSCAR:
```
Hg3PO6
1.0
-1.3393 3.5555 -3.7674
-4.0297 -3.1451 -1.5356
-5.2578 3.6961 6.2269
Hg P O
6 2 12
direct
0.5150 0.9499 0.7546
0.5000 0.5000 0.0000
0.4850 0.0501 0.2454
0.0150 0.5501 0.2546
0.0000 0.0000 0.5000
0.9850 0.4499 0.7454
0.5000 0.5000 0.5000
0.0000 0.0000 0.0000
0.7350 0.1873 0.9359
0.6440 0.2477 0.5830
0.6270 0.4298 0.3329
0.3730 0.5702 0.6671
0.3560 0.7523 0.4170
0.2650 0.8127 0.0641
0.2350 0.3127 0.4359
0.1440 0.2523 0.0830
0.1271 0.0702 0.8329
0.8730 0.9298 0.1671
0.8560 0.7477 0.9170
0.7650 0.6873 0.5641
```

## Properties
For the energy above the most stable polymorph in this dataset, the calculation gives 0.00 eV per formula unit. For the formation energy from raw total energies, the calculation gives -0.658 eV/atom. For the density of states at the Fermi level, the calculation gives 11.91 states/eV/cell.

***

No. 7
First-principles (PBE-GGA) data for crystalline HgP3O at its relaxed geometry, as listed in Alexandria via LeMat-Bulk.

Geometry as POSCAR:
```
HgP3O
1.0
-3.4874 -1.0184 -3.4705
2.6469 -4.0041 -1.4849
-2.4648 -2.8590 3.3158
P Hg O
3 1 1
direct
0.0000 0.5000 0.0000
0.0000 0.0000 0.5000
0.5000 0.0000 0.0000
0.0000 0.0000 0.0000
0.5000 0.5000 0.5000
```

## Properties
For the energy above the most stable polymorph in this dataset, the calculation gives 5.83 eV per formula unit. For the formation energy from raw total energies, the calculation gives 1.913 eV/atom. For the density of states at the Fermi level, the calculation gives 5.20 states/eV/cell.

***

No. 8
First-principles (PBE-GGA) data for crystalline Hg9P4O16 at its relaxed geometry, as listed in Alexandria via LeMat-Bulk.

Geometry as POSCAR:
```
Hg9P4O16
1.0
10.4601 -0.0255 -0.0422
-3.3463 9.9104 -0.0422
-3.3463 -4.6499 8.7519
Hg O P
18 32 8
direct
0.5392 0.5951 0.8189
0.5951 0.8189 0.5392
0.8189 0.5392 0.5951
0.0392 0.3189 0.0951
0.0951 0.0392 0.3189
0.3189 0.0951 0.0392
0.7167 0.8323 0.3443
0.8323 0.3443 0.7167
0.3443 0.7167 0.8323
0.2167 0.8443 0.3323
0.3323 0.2167 0.8443
0.8443 0.3323 0.2167
0.0066 0.6520 0.9118
0.6520 0.9118 0.0066
0.9118 0.0066 0.6520
0.5066 0.4118 0.1520
0.1520 0.5066 0.4118
0.4118 0.1520 0.5066
0.0801 0.9092 0.0110
0.9092 0.0110 0.0801
0.0110 0.0801 0.9092
0.5801 0.5110 0.4092
0.4092 0.5801 0.5110
0.5110 0.4092 0.5801
0.8436 0.7899 0.2088
0.7899 0.2088 0.8436
0.2088 0.8436 0.7899
0.3436 0.7088 0.2899
0.2899 0.3436 0.7088
0.7088 0.2899 0.3436
0.7180 0.5506 0.9443
0.5506 0.9443 0.7180
0.9443 0.7180 0.5506
0.2180 0.4443 0.0506
0.0506 0.2180 0.4443
0.4443 0.0506 0.2180
0.9824 0.6387 0.1365
0.6387 0.1365 0.9824
0.1365 0.9824 0.6387
0.4824 0.6365 0.1387
0.1387 0.4824 0.6365
0.6365 0.1387 0.4824
0.2604 0.6873 0.0222
0.6873 0.0222 0.2604
0.0222 0.2604 0.6873
0.7604 0.5222 0.1873
0.1873 0.7604 0.5222
0.5222 0.1873 0.7604
0.8021 0.8021 0.8021
0.3021 0.3021 0.3021
0.8226 0.6251 0.1195
0.6251 0.1195 0.8226
0.1195 0.8226 0.6251
0.3226 0.6195 0.1251
0.1251 0.3226 0.6195
0.6195 0.1251 0.3226
0.9432 0.9432 0.9432
0.4432 0.4432 0.4432
```

## Properties
For the formation energy from raw total energies, the calculation gives -1.245 eV/atom. For the density of states at the Fermi level, the calculation gives 0.00 states/eV/cell.

***

No. 9
First-principles (PBE-GGA) data for crystalline Hg3PO4 at its relaxed geometry, as listed in Alexandria via LeMat-Bulk.

Geometry as POSCAR:
```
Hg3PO4
1.0
5.5225 0.8353 0.5423
-1.9927 5.2178 -0.5423
-2.2581 -2.7390 4.3462
Hg P O
3 1 4
direct
0.5445 0.2486 0.7931
0.9258 0.0000 0.9258
0.5445 0.7514 0.2959
0.0235 0.5000 0.5235
0.1724 0.7078 0.8802
0.1724 0.2922 0.4646
0.7005 0.3166 0.3839
0.0673 0.6834 0.3839
```

## Properties
For the energy above the most stable polymorph in this dataset, the calculation gives 1.36 eV per formula unit. For the formation energy from raw total energies, the calculation gives -0.986 eV/atom. For the density of states at the Fermi level, the calculation gives 2.91 states/eV/cell.

***

No. 10
First-principles (PBE-GGA) data for crystalline HgPO2 at its relaxed geometry, as listed in Alexandria via LeMat-Bulk.

Geometry as POSCAR:
```
HgPO2
1.0
0.9902 -0.3273 4.0028
-2.8893 -1.0547 2.7657
0.1229 -3.7209 1.8026
P Hg O
1 1 2
direct
0.0000 0.0000 0.0000
0.5000 0.5000 0.5000
0.2500 0.2500 0.2500
0.7500 0.7500 0.7500
```

## Properties
For the energy above the most stable polymorph in this dataset, the calculation gives 4.97 eV per formula unit. For the formation energy from raw total energies, the calculation gives 0.455 eV/atom. For the density of states at the Fermi level, the calculation gives 1.08 states/eV/cell.

***

No. 11
First-principles (PBE-GGA) data for crystalline Hg3PO4 at its relaxed geometry, as listed in Alexandria via LeMat-Bulk.

Geometry as POSCAR:
```
Hg3PO4
1.0
5.1547 0.0000 0.0000
0.0000 9.0558 -0.0194
0.0000 7.8628 12.1695
Hg P O
12 4 16
direct
0.1565 0.4460 0.3764
0.3617 0.7355 0.9512
0.1383 0.7355 0.4512
0.6383 0.2645 0.0488
0.8617 0.2645 0.5488
0.6565 0.5540 0.1236
0.8435 0.5540 0.6236
0.3435 0.4460 0.8764
0.3669 0.9542 0.5881
0.8669 0.0458 0.9119
0.6331 0.0458 0.4119
0.1331 0.9542 0.0881
0.1124 0.2339 0.2271
0.8876 0.7661 0.7729
0.6124 0.7661 0.2729
0.3876 0.2339 0.7271
0.4988 0.4011 0.7212
0.9988 0.5989 0.7788
0.5012 0.5989 0.2788
0.0012 0.4011 0.2212
0.0863 0.2389 0.7295
0.5863 0.7611 0.7705
0.9137 0.7611 0.2705
0.4137 0.2389 0.2295
0.4835 0.0664 0.8363
0.0256 0.2288 0.1259
0.5165 0.9336 0.1637
0.0165 0.0664 0.3363
0.4744 0.2288 0.6259
0.9744 0.7712 0.8741
0.5256 0.7712 0.3741
0.9835 0.9336 0.6637
```

## Properties
For the energy above the most stable polymorph in this dataset, the calculation gives 0.00 eV per formula unit. For the formation energy from raw total energies, the calculation gives -1.156 eV/atom.

***

No. 12
First-principles (PBE-GGA) data for crystalline Hg3PO4 at its relaxed geometry, as listed in Alexandria via LeMat-Bulk.

Geometry as POSCAR:
```
Hg3PO4
1.0
5.2153 0.0000 0.0000
0.0000 5.8201 0.0000
0.0000 0.0000 9.3887
P Hg O
2 6 8
direct
0.0009 0.0000 0.8434
0.5009 0.5000 0.1566
0.4740 0.0000 0.0634
0.9909 0.7531 0.3918
0.4909 0.7469 0.6082
0.9740 0.5000 0.9366
0.4909 0.2531 0.6082
0.9909 0.2469 0.3918
0.9097 0.0000 0.0015
0.3030 0.0000 0.8440
0.9077 0.7798 0.7631
0.4077 0.7202 0.2369
0.8030 0.5000 0.1560
0.4097 0.5000 0.9985
0.4077 0.2798 0.2369
0.9077 0.2202 0.7631
```

## Properties
For the energy above the most stable polymorph in this dataset, the calculation gives 0.65 eV per formula unit. For the formation energy from raw total energies, the calculation gives -1.074 eV/atom. For the density of states at the Fermi level, the calculation gives 1.31 states/eV/cell.

***

No. 13
First-principles (PBE-GGA) data for crystalline HgPO2 at its relaxed geometry, as listed in Alexandria via LeMat-Bulk.

Geometry as POSCAR:
```
HgPO2
1.0
1.7500 0.0000 7.9978
-0.8750 1.5156 7.9978
-0.8750 -1.5156 7.9978
P Hg O
1 1 2
direct
0.0000 0.0000 0.0000
0.5000 0.5000 0.5000
0.9377 0.9377 0.9377
0.0623 0.0623 0.0623
```

## Properties
For the energy above the most stable polymorph in this dataset, the calculation gives 0.95 eV per formula unit. For the formation energy from raw total energies, the calculation gives -0.549 eV/atom. For the density of states at the Fermi level, the calculation gives 1.94 states/eV/cell.

***

No. 14
First-principles (PBE-GGA) data for crystalline Hg3PO6 at its relaxed geometry, as listed in Alexandria via LeMat-Bulk.

Geometry as POSCAR:
```
Hg3PO6
1.0
-3.1507 3.5604 3.9212
-4.8830 -2.6618 -1.5066
4.5110 -2.9113 1.4252
Hg P O
3 1 6
direct
0.7272 0.2501 0.4543
0.2728 0.7499 0.5457
0.0000 0.0000 0.0000
0.5000 0.5000 0.0000
0.3814 0.3930 0.1478
0.2336 0.6070 0.8522
0.6186 0.6070 0.8522
0.7664 0.3930 0.1478
0.2682 0.1189 0.5364
0.7318 0.8811 0.4636
```

## Properties
For the energy above the most stable polymorph in this dataset, the calculation gives 0.09 eV per formula unit. For the formation energy from raw total energies, the calculation gives -0.648 eV/atom. For the density of states at the Fermi level, the calculation gives 2.87 states/eV/cell.

***

No. 15
First-principles (PBE-GGA) data for crystalline HgPO4 at its relaxed geometry, as listed in Alexandria via LeMat-Bulk.

Geometry as POSCAR:
```
HgPO4
1.0
-8.4601 -0.1245 4.1994
-2.0958 -1.2384 -4.2589
-1.1598 -8.4146 -2.5860
Hg P O
4 4 16
direct
0.9896 0.1688 0.7560
0.5104 0.1688 0.2560
0.0104 0.8312 0.2440
0.4896 0.8312 0.7440
0.8032 0.5087 0.9506
0.6968 0.5087 0.4506
0.1968 0.4913 0.0494
0.3032 0.4913 0.5494
0.8464 0.8103 0.9578
0.6536 0.8103 0.4578
0.1536 0.1897 0.0422
0.3464 0.1897 0.5422
0.8770 0.5516 0.7847
0.6230 0.5516 0.2847
0.1230 0.4484 0.2153
0.3770 0.4484 0.7153
0.8344 0.1941 0.1361
0.6656 0.1941 0.6361
0.1656 0.8059 0.8639
0.3344 0.8059 0.3639
0.6370 0.4810 0.9476
0.8630 0.4810 0.4476
0.3630 0.5190 0.0524
0.1370 0.5190 0.5524
```

## Properties
For the energy above the most stable polymorph in this dataset, the calculation gives 0.00 eV per formula unit. For the formation energy from raw total energies, the calculation gives -1.230 eV/atom. For the density of states at the Fermi level, the calculation gives 13.71 states/eV/cell.

***

No. 16
First-principles (PBE-GGA) data for crystalline HgP3O at its relaxed geometry, as listed in Alexandria via LeMat-Bulk.

Geometry as POSCAR:
```
HgP3O
1.0
4.3120 0.0000 0.0000
0.0000 4.3120 0.0000
0.0000 0.0000 4.3120
P Hg O
3 1 1
direct
0.0000 0.5000 0.0000
0.0000 0.0000 0.5000
0.5000 0.0000 0.0000
0.5000 0.5000 0.5000
0.0000 0.0000 0.0000
```

## Properties
For the energy above the most stable polymorph in this dataset, the calculation gives 0.00 eV per formula unit. For the formation energy from raw total energies, the calculation gives 0.747 eV/atom. For the density of states at the Fermi level, the calculation gives 3.44 states/eV/cell.

***

No. 17
First-principles (PBE-GGA) data for crystalline HgPO3 at its relaxed geometry, as listed in Alexandria via LeMat-Bulk.

Geometry as POSCAR:
```
HgPO3
1.0
6.7709 0.3966 1.6446
3.3330 5.9070 1.6446
-1.9064 -1.1894 13.8470
Hg P O
6 6 18
direct
0.5000 0.0000 0.5000
0.0000 0.5000 0.0000
0.6525 0.9604 0.9227
0.0396 0.3475 0.5773
0.3475 0.0396 0.0773
0.9604 0.6525 0.4227
0.0766 0.9234 0.7500
0.9234 0.0766 0.2500
0.3497 0.4086 0.7523
0.5914 0.6503 0.7477
0.6503 0.5914 0.2477
0.4086 0.3497 0.2523
0.5632 0.4368 0.7500
0.4368 0.5632 0.2500
0.9289 0.0062 0.8418
0.9938 0.0711 0.6582
0.0711 0.9938 0.1582
0.0062 0.9289 0.3418
0.1316 0.6727 0.7297
0.3273 0.8684 0.7703
0.8684 0.3273 0.2703
0.6727 0.1316 0.2297
0.3266 0.3249 0.8544
0.6751 0.6734 0.6456
0.2686 0.3760 0.1717
0.6240 0.7314 0.3283
0.7314 0.6240 0.8283
0.3760 0.2686 0.6717
0.3249 0.3266 0.3544
0.6734 0.6751 0.1456
```

## Properties
For the formation energy from raw total energies, the calculation gives -1.512 eV/atom. For the density of states at the Fermi level, the calculation gives 6.20 states/eV/cell.

***

No. 18
First-principles (PBE-GGA) data for crystalline HgPO3 at its relaxed geometry, as listed in Alexandria via LeMat-Bulk.

Geometry as POSCAR:
```
HgPO3
1.0
-2.4420 -0.6220 -2.6954
-0.6258 -3.3780 1.3465
-2.6945 1.3482 2.1301
P Hg O
1 1 3
direct
0.0000 0.0000 0.0000
0.5000 0.5000 0.5000
0.0000 0.5000 0.0000
0.0000 0.0000 0.5000
0.5000 0.0000 0.0000
```

## Properties
For the formation energy from raw total energies, the calculation gives -0.578 eV/atom. For the density of states at the Fermi level, the calculation gives 0.78 states/eV/cell.